Density functional theory data (PBE) for a geometry-optimized Cs5KNa2 structure.

Lattice parameters (Å, degrees): 5.1600 12.0778 13.2999 117.00 101.19 90.00
Atoms (fractional coordinates):
Cs  0.0000  0.5000  0.0000
Cs  0.6460  0.3648  0.2919
Cs  0.3540  0.6352  0.7081
Cs  0.6460  0.9272  0.2919
Cs  0.3540  0.0728  0.7081
K  0.0000  0.0000  0.0000
Na  0.1990  0.6990  0.3980
Na  0.8010  0.3010  0.6020

Properties
- Fermi-level density of states: 0.72 states/eV per atom
- Total DFT energy (no corrections): -0.035 Ha/atom
- Magnetic moment: 0.00 Bohr magnetons per cell
- Symmetry: Immm, No. 71
- Energy relative to the elements: 0.0387 eV per atom

Density functional theory data (PBE) for a geometry-optimized Zr2TaCo structure.

Lattice parameters (Å, degrees): 4.6602 4.6602 3.3752 90.00 90.00 90.00
Atoms (fractional coordinates):
Co  0.5000  0.0000  0.5000
Ta  0.0000  0.5000  0.5000
Zr  0.0000  0.0000  0.0000
Zr  0.5000  0.5000  0.0000

Properties
- Fermi-level density of states: 1.61 states/eV per atom
- Total DFT energy (no corrections): -0.329 Ha/atom
- Magnetic moment: 0.00 Bohr magnetons per cell
- Symmetry: P4/mmm, No. 123
- Energy relative to the elements: 0.0548 eV per atom

Density functional theory data (PBE) for a geometry-optimized LaCePuGa structure.

Lattice parameters (Å, degrees): 5.2433 5.2433 5.2433 60.00 60.00 60.00
Site moments in Bohr magnetons follow the coordinates.
Atoms (fractional coordinates):
La  0.2500  0.2500  0.2500  0.28
Ga  0.5000  0.5000  0.5000  -0.03
Ce  0.0000  0.0000  0.0000  1.22
Pu  0.7500  0.7500  0.7500  5.67

Properties
- Fermi-level density of states: 2.23 states/eV per atom
- Total DFT energy (no corrections): -0.262 Ha/atom
- Magnetic moment: 8.30 Bohr magnetons per cell
- Symmetry: F-43m, No. 216
- Energy relative to the elements: -0.0780 eV per atom

Density functional theory data (PBE) for a geometry-optimized NaTlCdAu structure.

Lattice parameters (Å, degrees): 5.0347 5.0347 5.0347 60.00 60.00 60.00
Atoms (fractional coordinates):
Na  0.5000  0.5000  0.5000
Tl  0.2500  0.2500  0.2500
Au  0.0000  0.0000  0.0000
Cd  0.7500  0.7500  0.7500

Properties
- Fermi-level density of states: 0.42 states/eV per atom
- Total DFT energy (no corrections): -0.078 Ha/atom
- Magnetic moment: 0.00 Bohr magnetons per cell
- Symmetry: F-43m, No. 216
- Energy relative to the elements: -0.1525 eV per atom

Density functional theory data (PBE) for a geometry-optimized Rb5PaSe5 structure.

Lattice parameters (Å, degrees): 6.3393 8.5036 9.3230 107.76 90.00 111.88
Atoms (fractional coordinates):
Rb  0.6966  0.3932  0.3091
Rb  0.6761  0.3521  0.8481
Rb  0.0000  0.0000  0.5000
Rb  0.3239  0.6479  0.1519
Rb  0.3034  0.6068  0.6909
Pa  0.0000  0.0000  0.0000
Se  0.8720  0.7439  0.1416
Se  0.8655  0.7309  0.7172
Se  0.5000  0.0000  0.0000
Se  0.1345  0.2691  0.2828
Se  0.1280  0.2561  0.8584

Properties
- Total DFT energy (no corrections): -0.152 Ha/atom
- Magnetic moment: 0.00 Bohr magnetons per cell
- Symmetry: C2/m, No. 12
- Formation energy from raw total energies: -1240.3 meV per atom

Density functional theory data (PBE) for a geometry-optimized Y3CoHg structure.

Lattice parameters (Å, degrees): 5.9975 5.9975 8.7422 67.99 67.99 64.34
Atoms (fractional coordinates):
Y  0.3156  0.3156  0.8719
Y  0.6844  0.6844  0.1281
Y  0.0229  0.0229  0.7849
Y  0.9771  0.9771  0.2151
Y  0.7026  0.7026  0.6825
Y  0.2974  0.2974  0.3175
Co  0.3177  0.6823  0.0000
Co  0.6823  0.3177  0.0000
Hg  0.7281  0.2719  0.5000
Hg  0.2719  0.7281  0.5000

Properties
- Fermi-level density of states: 1.08 states/eV per atom
- Total DFT energy (no corrections): -0.207 Ha/atom
- Magnetic moment: 0.00 Bohr magnetons per cell
- Symmetry: C2/m, No. 12
- Energy relative to the elements: -0.2606 eV per atom

Density functional theory data (PBE) for a geometry-optimized CrCoIr3 structure.

Lattice parameters (Å, degrees): 2.6861 6.0067 9.2580 66.88 89.99 77.08
Atoms (fractional coordinates):
Cr  0.8680  0.8334  0.1823
Cr  0.8203  0.9274  0.8768
Co  0.1394  0.2892  0.7004
Co  0.5488  0.4715  0.3587
Ir  0.2215  0.1256  0.2979
Ir  0.5067  0.5557  0.0737
Ir  0.1816  0.2050  0.9854
Ir  0.7559  0.0569  0.5801
Ir  0.4667  0.6352  0.7612
Ir  0.9322  0.7038  0.4789

Properties
- Fermi-level density of states: 1.03 states/eV per atom
- Total DFT energy (no corrections): -0.318 Ha/atom
- Magnetic moment: 0.00 Bohr magnetons per cell
- Symmetry: C2/m, No. 12
- Energy relative to the elements: -0.0009 eV per atom

Density functional theory data (PBE) for a geometry-optimized YEr2Sc3Bi6 structure.

Lattice parameters (Å, degrees): 7.5621 7.5621 7.5520 99.59 99.59 120.02
Atoms (fractional coordinates):
Y  0.0000  0.0000  0.0000
Er  0.3331  0.6669  0.0000
Er  0.6669  0.3331  0.0000
Sc  0.1658  0.8342  0.5000
Sc  0.8342  0.1658  0.5000
Sc  0.5000  0.5000  0.5000
Bi  0.9121  0.5771  0.7364
Bi  0.7525  0.7525  0.2629
Bi  0.0879  0.4229  0.2636
Bi  0.5771  0.9121  0.7364
Bi  0.2475  0.2475  0.7371
Bi  0.4229  0.0879  0.2636

Properties
- Fermi-level density of states: 0.18 states/eV per atom
- Total DFT energy (no corrections): -0.205 Ha/atom
- Magnetic moment: 0.00 Bohr magnetons per cell
- Symmetry: C2/m, No. 12
- Energy relative to the elements: -0.7473 eV per atom

Density functional theory data (PBE) for a geometry-optimized Tb8Pm3Nd2 structure.

Lattice parameters (Å, degrees): 5.6487 7.7065 10.9974 110.51 90.03 90.00
Atoms (fractional coordinates):
Tb  0.0007  0.6656  0.3313
Tb  0.9993  0.3344  0.6687
Tb  0.9997  0.1315  0.2630
Tb  0.0003  0.8685  0.7370
Tb  0.4998  0.6035  0.7861
Tb  0.4998  0.1826  0.7861
Tb  0.5002  0.8174  0.2139
Tb  0.5002  0.3965  0.2139
Pm  0.5000  0.0000  0.0000
Pm  0.0000  0.2914  0.0000
Pm  0.0000  0.7086  0.0000
Nd  0.4990  0.2416  0.4831
Nd  0.5010  0.7584  0.5169

Properties
- Fermi-level density of states: 1.75 states/eV per atom
- Total DFT energy (no corrections): -0.163 Ha/atom
- Magnetic moment: 0.00 Bohr magnetons per cell
- Symmetry: C2/m, No. 12
- Energy relative to the elements: 0.2394 eV per atom

Density functional theory data (PBE) for a geometry-optimized CaSiSbRu2 structure.

Lattice parameters (Å, degrees): 4.5416 5.1764 4.5416 90.00 90.00 90.00
Site moments in Bohr magnetons follow the coordinates.
Atoms (fractional coordinates):
Sb  0.0000  0.5000  0.0000  0.02
Ca  0.5000  0.5000  0.5000  0.00
Si  0.0000  0.0000  0.0000  0.00
Ru  0.0000  0.0000  0.5000  0.40
Ru  0.5000  0.0000  0.0000  0.34

Properties
- Fermi-level density of states: 1.18 states/eV per atom
- Total DFT energy (no corrections): -0.209 Ha/atom
- Magnetic moment: 0.83 Bohr magnetons per cell
- Symmetry: P4/mmm, No. 123
- Formation energy from raw total energies: 325.5 meV per atom

Density functional theory data (PBE) for a geometry-optimized ZnRuW4 structure.

Lattice parameters (Å, degrees): 5.2234 5.2234 5.2234 60.00 60.00 60.00
Atoms (fractional coordinates):
Zn  0.7500  0.7500  0.7500
Ru  0.0000  0.0000  0.0000
W  0.8715  0.3762  0.3762
W  0.3762  0.3762  0.8715
W  0.3762  0.8715  0.3762
W  0.3762  0.3762  0.3762

Properties
- Fermi-level density of states: 1.20 states/eV per atom
- Total DFT energy (no corrections): -0.361 Ha/atom
- Magnetic moment: 0.00 Bohr magnetons per cell
- Symmetry: F-43m, No. 216
- Energy relative to the elements: 0.5808 eV per atom

Density functional theory data (PBE) for a geometry-optimized AlCuCl4 structure.

Lattice parameters (Å, degrees): 5.6548 5.6548 9.8941 90.00 90.00 90.00
Site moments in Bohr magnetons follow the coordinates.
Atoms (fractional coordinates):
Al  0.0000  0.5000  0.2500  0.00
Al  0.5000  0.0000  0.7500  0.00
Cl  0.2218  0.2757  0.3746  0.00
Cl  0.7782  0.7243  0.3746  0.00
Cl  0.2757  0.7782  0.6254  0.00
Cl  0.7243  0.2218  0.6254  0.00
Cl  0.7782  0.2757  0.1254  0.00
Cl  0.2218  0.7243  0.1254  0.00
Cl  0.7243  0.7782  0.8746  0.00
Cl  0.2757  0.2218  0.8746  0.00
Cu  0.0000  0.0000  0.5000  0.12
Cu  0.0000  0.0000  0.0000  0.12

Properties
- Fermi-level density of states: 0.00 states/eV per atom
- Total DFT energy (no corrections): -0.136 Ha/atom
- Magnetic moment: 0.27 Bohr magnetons per cell
- Symmetry: P-42c, No. 112
- Formation energy from raw total energies: -1168.4 meV per atom